VASP calculation (GGA+U) on VAgPdF6 after structural relaxation.

## Properties
- DFT total energy (eV per formula unit) = -43.20
- size of the total moment (μB per formula unit) = 4.02
- DOS at the Fermi energy (states/eV per atom) = 0.029
- SG = P4_2nm

a = 5.1303 Å, b = 5.1303 Å, c = 10.1233 Å
α = 90.00°, β = 90.00°, γ = 90.00°
Atoms (fractional coordinates):
V (0.0000, 0.0000, 0.0000)
V (0.5000, 0.5000, 0.5000)
Ag (0.0000, 0.0000, 0.3370)
Ag (0.5000, 0.5000, 0.8370)
Pd (0.0000, 0.0000, 0.6633)
Pd (0.5000, 0.5000, 0.1633)
F (0.1750, 0.1750, 0.8461)
F (0.1966, 0.1966, 0.1410)
F (0.2295, 0.2295, 0.5135)
F (0.2705, 0.7295, 0.0135)
F (0.3034, 0.6966, 0.6410)
F (0.3250, 0.6750, 0.3461)
F (0.6750, 0.3250, 0.3461)
F (0.6966, 0.3034, 0.6410)
F (0.7295, 0.2705, 0.0135)
F (0.7705, 0.7705, 0.5135)
F (0.8034, 0.8034, 0.1410)
F (0.8250, 0.8250, 0.8461)